[1]
# NiAsH, relaxed, DFT PBE
# **Calculated volume**: 145.28 Å³ per cell
# **Crystal system**: monoclinic
# **ΔE to the lowest computed polymorph**: 0.042 eV/atom
data_NiAsH
_cell_length_a 7.559
_cell_length_b 2.798
_cell_length_c 7.669
_cell_angle_alpha 90.00
_cell_angle_beta 116.41
_cell_angle_gamma 90.00
_space_group_name_H-M_alt 'C 1 m 1'
_space_group_IT_number 8
loop_
_space_group_symop_operation_xyz
'x,y,z'
'x,-y,z'
'x+1/2,y+1/2,z'
'x+1/2,-y+1/2,z'
loop_
_atom_site_label
_atom_site_type_symbol
_atom_site_fract_x
_atom_site_fract_y
_atom_site_fract_z
_atom_site_occupancy
Ni1 Ni 0.000 0.000 0.000 1
Ni2 Ni 0.200 0.500 0.325 1
As1 As 0.051 0.000 0.475 1
As2 As 0.211 0.000 0.842 1
H1 H 0.221 0.000 0.204 1
H2 H 0.493 0.000 0.128 1

=====

[2]
# Ni3AsH, relaxed, DFT PBE
# **Calculated volume**: 100.54 Å³ per cell
# **Crystal system**: monoclinic
# **ΔE to the lowest computed polymorph**: 0.000 eV/atom
data_Ni3AsH
_cell_length_a 3.052
_cell_length_b 6.940
_cell_length_c 4.982
_cell_angle_alpha 90.00
_cell_angle_beta 107.69
_cell_angle_gamma 90.00
_space_group_name_H-M_alt 'P 1 21/m 1'
_space_group_IT_number 11
loop_
_space_group_symop_operation_xyz
'x,y,z'
'-x,-y,-z'
'-x,y+1/2,-z'
'x,-y+1/2,z'
loop_
_atom_site_label
_atom_site_type_symbol
_atom_site_fract_x
_atom_site_fract_y
_atom_site_fract_z
_atom_site_occupancy
Ni1 Ni 0.042 0.250 0.080 1
Ni2 Ni 0.372 0.049 0.740 1
As1 As 0.255 0.750 0.513 1
H1 H 0.000 0.000 0.000 1

=====

[3]
# Ni5AsH5, relaxed, DFT PBE
# **Calculated volume**: 113.66 Å³ per cell
# **Crystal system**: triclinic
# **Energy**: -49.513 eV for the cell shown
data_Ni5AsH5
_cell_length_a 4.510
_cell_length_b 4.826
_cell_length_c 6.027
_cell_angle_alpha 105.63
_cell_angle_beta 103.85
_cell_angle_gamma 106.67
_space_group_name_H-M_alt 'P -1'
_space_group_IT_number 2
loop_
_space_group_symop_operation_xyz
'x,y,z'
'-x,-y,-z'
loop_
_atom_site_label
_atom_site_type_symbol
_atom_site_fract_x
_atom_site_fract_y
_atom_site_fract_z
_atom_site_occupancy
Ni1 Ni 0.000 0.000 0.000 1
Ni2 Ni 0.257 0.486 0.364 1
Ni3 Ni 0.369 0.739 0.821 1
As1 As 0.000 0.500 0.000 1
H1 H 0.000 0.500 0.500 1
H2 H 0.320 0.076 0.904 1
H3 H 0.435 0.231 0.390 1

=====

[4]
# NiAsH2, relaxed, DFT PBE
# **Calculated volume**: 140.52 Å³ per cell
# **Crystal system**: cubic
# **ΔE to the lowest computed polymorph**: 0.326 eV/atom
data_NiAsH2
_cell_length_a 5.199
_cell_length_b 5.199
_cell_length_c 5.199
_cell_angle_alpha 90.00
_cell_angle_beta 90.00
_cell_angle_gamma 90.00
_space_group_name_H-M_alt 'F m -3 m'
_space_group_IT_number 225
_space_group_name_Hall '-F 4 2 3'
loop_
_atom_site_label
_atom_site_type_symbol
_atom_site_fract_x
_atom_site_fract_y
_atom_site_fract_z
_atom_site_occupancy
Ni1 Ni 0.000 0.000 0.000 1
As1 As 0.000 0.000 0.500 1
H1 H 0.250 0.250 0.250 1

=====

[5]
# Ni3AsH, relaxed, DFT PBE
# **Calculated volume**: 49.07 Å³ per cell
# **Crystal system**: cubic
# **ΔE to the lowest computed polymorph**: 0.037 eV/atom
data_Ni3AsH
_cell_length_a 3.661
_cell_length_b 3.661
_cell_length_c 3.661
_cell_angle_alpha 90.00
_cell_angle_beta 90.00
_cell_angle_gamma 90.00
_space_group_name_H-M_alt 'P m -3 m'
_space_group_IT_number 221
_space_group_name_Hall '-P 4 2 3'
loop_
_atom_site_label
_atom_site_type_symbol
_atom_site_fract_x
_atom_site_fract_y
_atom_site_fract_z
_atom_site_occupancy
Ni1 Ni 0.000 0.000 0.500 1
As1 As 0.500 0.500 0.500 1
H1 H 0.000 0.000 0.000 1

=====

[6]
# Ni4AsH2, relaxed, DFT PBE
# **Calculated volume**: 276.09 Å³ per cell
# **Crystal system**: monoclinic
# **Energy**: -138.770 eV for the cell shown
data_Ni4AsH2
_cell_length_a 5.950
_cell_length_b 7.668
_cell_length_c 6.732
_cell_angle_alpha 90.00
_cell_angle_beta 115.99
_cell_angle_gamma 90.00
_space_group_name_H-M_alt 'C 1 2/c 1'
_space_group_IT_number 15
loop_
_space_group_symop_operation_xyz
'x,y,z'
'-x,-y,-z'
'-x,y,-z+1/2'
'x,-y,z+1/2'
'x+1/2,y+1/2,z'
'-x+1/2,-y+1/2,-z'
'-x+1/2,y+1/2,-z+1/2'
'x+1/2,-y+1/2,z+1/2'
loop_
_atom_site_label
_atom_site_type_symbol
_atom_site_fract_x
_atom_site_fract_y
_atom_site_fract_z
_atom_site_occupancy
Ni1 Ni 0.078 0.219 0.074 1
Ni2 Ni 0.245 0.468 0.572 1
As1 As 0.000 0.374 0.750 1
H1 H 0.000 0.000 0.000 1
H2 H 0.250 0.250 0.500 1

=====

[7]
# NiAsH, relaxed, DFT PBE
# **Calculated volume**: 87.07 Å³ per cell
# **Crystal system**: monoclinic
# **ΔE to the lowest computed polymorph**: 0.048 eV/atom
data_NiAsH
_cell_length_a 5.555
_cell_length_b 2.765
_cell_length_c 5.680
_cell_angle_alpha 90.00
_cell_angle_beta 93.70
_cell_angle_gamma 90.00
_space_group_name_H-M_alt 'P 1 21/m 1'
_space_group_IT_number 11
loop_
_space_group_symop_operation_xyz
'x,y,z'
'-x,-y,-z'
'-x,y+1/2,-z'
'x,-y+1/2,z'
loop_
_atom_site_label
_atom_site_type_symbol
_atom_site_fract_x
_atom_site_fract_y
_atom_site_fract_z
_atom_site_occupancy
Ni1 Ni 0.011 0.250 0.313 1
As1 As 0.222 0.250 0.961 1
H1 H 0.153 0.750 0.445 1

=====

[8]
# Ni4AsH, relaxed, DFT PBE
# **Calculated volume**: 242.86 Å³ per cell
# **Crystal system**: monoclinic
# **ΔE to the lowest computed polymorph**: 0.000 eV/atom
data_Ni4AsH
_cell_length_a 6.489
_cell_length_b 8.449
_cell_length_c 4.588
_cell_angle_alpha 90.00
_cell_angle_beta 105.06
_cell_angle_gamma 90.00
_space_group_name_H-M_alt 'C 1 2/c 1'
_space_group_IT_number 15
loop_
_space_group_symop_operation_xyz
'x,y,z'
'-x,-y,-z'
'-x,y,-z+1/2'
'x,-y,z+1/2'
'x+1/2,y+1/2,z'
'-x+1/2,-y+1/2,-z'
'-x+1/2,y+1/2,-z+1/2'
'x+1/2,-y+1/2,z+1/2'
loop_
_atom_site_label
_atom_site_type_symbol
_atom_site_fract_x
_atom_site_fract_y
_atom_site_fract_z
_atom_site_occupancy
Ni1 Ni 0.101 0.140 0.043 1
Ni2 Ni 0.194 0.384 0.384 1
As1 As 0.000 0.367 0.750 1
H1 H 0.000 0.005 0.750 1